The following is a DFT calculation (GGA-PBE) of an optimized crystal structure of HgO2F.

Unit cell a=4.021 b=4.021 c=4.021 alpha=60.00 beta=60.00 gamma=60.00
Each line ends with the local moment (μB).
Atoms (fractional coordinates):
Hg1 0.500 0.500 0.500  0.12
O1 0.250 0.250 0.250  1.05
O2 0.750 0.750 0.750  1.05
F1 0.000 0.000 0.000  0.43

Computed properties:
**Total moment**: 0.7500 μB per atom
**Raw formation energy**: 1.814 eV per formula unit
**Polymorph energy (0 for the lowest one)**: 3.53 eV/f.u.
**Space-group type**: No. 225

The following is a DFT calculation (GGA-PBE) of an optimized crystal structure of HgO2F.

Unit cell a=6.677 b=4.228 c=8.364 alpha=101.29 beta=90.00 gamma=90.00
Each line ends with the local moment (μB).
Atoms (fractional coordinates):
Hg1 0.291 0.263 0.087  -0.02
Hg2 0.791 0.237 0.413  -0.02
Hg3 0.709 0.737 0.913  -0.02
Hg4 0.209 0.763 0.587  -0.02
O1 0.530 0.313 0.644  0.45
O2 0.030 0.187 0.856  0.45
O3 0.470 0.687 0.356  0.45
O4 0.970 0.813 0.144  0.45
O5 0.479 0.056 0.700  0.43
O6 0.979 0.444 0.800  0.43
O7 0.521 0.944 0.300  0.43
O8 0.021 0.556 0.200  0.43
F1 0.634 0.259 0.048  -0.01
F2 0.134 0.241 0.452  -0.01
F3 0.366 0.741 0.952  -0.01
F4 0.866 0.759 0.548  -0.01

Computed properties:
**Total moment**: 0.2501 μB per atom
**Raw formation energy**: -1.717 eV per formula unit
**Polymorph energy (0 for the lowest one)**: 0.00 eV/f.u.
**Space-group type**: No. 14

The following is a DFT calculation (GGA-PBE) of an optimized crystal structure of Hg3O2F.

Unit cell a=7.008 b=6.798 c=6.798 alpha=130.38 beta=90.00 gamma=90.00
Atoms (fractional coordinates):
Hg1 0.171 0.704 0.083
Hg2 0.171 0.083 0.704
Hg3 0.671 0.296 0.917
Hg4 0.671 0.917 0.296
Hg5 0.995 0.290 0.290
Hg6 0.495 0.710 0.710
O1 0.480 0.610 0.948
O2 0.480 0.948 0.610
O3 0.980 0.390 0.052
O4 0.980 0.052 0.390
F1 0.615 0.281 0.281
F2 0.115 0.719 0.719

Computed properties:
**Total moment**: 0.0000 μB per atom
**Raw formation energy**: -2.985 eV per formula unit
**Polymorph energy (0 for the lowest one)**: 0.06 eV/f.u.
**Space-group type**: No. 36

The following is a DFT calculation (GGA-PBE) of an optimized crystal structure of HgO2F2.

Unit cell a=4.371 b=4.371 c=4.275 alpha=90.00 beta=90.00 gamma=90.00
Each line ends with the local moment (μB).
Atoms (fractional coordinates):
Hg1 0.000 0.000 0.000  0.06
O1 0.500 0.500 0.500  1.67
O2 0.000 0.000 0.500  0.77
F1 0.000 0.500 0.000  0.06
F2 0.500 0.000 0.000  0.06

Computed properties:
**Total moment**: 0.6356 μB per atom
**Raw formation energy**: 1.315 eV per formula unit
**Space-group type**: No. 123

The following is a DFT calculation (GGA-PBE) of an optimized crystal structure of Hg12O5F3.

Unit cell a=12.879 b=12.879 c=12.879 alpha=109.47 beta=109.47 gamma=109.47
Atoms (fractional coordinates):
F1 0.750 0.375 0.125
F2 0.875 0.750 0.125
F3 0.375 0.750 0.625
F4 0.250 0.125 0.375
F5 0.875 0.125 0.250
F6 0.375 0.625 0.250
F7 0.625 0.375 0.750
F8 0.125 0.875 0.750
F9 0.750 0.875 0.625
F10 0.625 0.250 0.375
F11 0.125 0.250 0.875
F12 0.250 0.625 0.875
O1 0.125 0.375 0.250
O2 0.000 0.500 0.000
O3 0.000 0.000 0.000
O4 0.375 0.250 0.125
O5 0.500 0.000 0.500
O6 0.500 0.500 0.000
O7 0.125 0.750 0.375
O8 0.750 0.125 0.875
O9 0.750 0.625 0.375
O10 0.375 0.125 0.750
O11 0.625 0.875 0.250
O12 0.500 0.500 0.500
O13 0.500 0.000 0.000
O14 0.000 0.000 0.500
O15 0.250 0.375 0.625
O16 0.250 0.875 0.125
O17 0.000 0.500 0.500
O18 0.875 0.250 0.625
O19 0.625 0.750 0.875
O20 0.875 0.625 0.750
Hg1 0.715 0.140 0.043
Hg2 0.328 0.543 0.403
Hg3 0.957 0.360 0.285
Hg4 0.543 0.215 0.140
Hg5 0.575 0.715 0.672
Hg6 0.957 0.597 0.172
Hg7 0.328 0.785 0.425
Hg8 0.097 0.925 0.140
Hg9 0.597 0.957 0.672
Hg10 0.715 0.575 0.172
Hg11 0.785 0.457 0.360
Hg12 0.828 0.903 0.043
Hg13 0.140 0.715 0.543
Hg14 0.360 0.403 0.075
Hg15 0.075 0.903 0.360
Hg16 0.425 0.140 0.597
Hg17 0.075 0.172 0.215
Hg18 0.457 0.672 0.097
Hg19 0.828 0.925 0.285
Hg20 0.140 0.425 0.097
Hg21 0.360 0.957 0.785
Hg22 0.597 0.640 0.425
Hg23 0.903 0.828 0.543
Hg24 0.785 0.328 0.925
Hg25 0.403 0.360 0.575
Hg26 0.097 0.172 0.457
Hg27 0.215 0.672 0.075
Hg28 0.172 0.075 0.715
Hg29 0.640 0.043 0.215
Hg30 0.860 0.575 0.903
Hg31 0.543 0.328 0.903
Hg32 0.575 0.860 0.403
Hg33 0.925 0.828 0.785
Hg34 0.925 0.097 0.640
Hg35 0.860 0.285 0.457
Hg36 0.172 0.097 0.957
Hg37 0.640 0.597 0.925
Hg38 0.403 0.043 0.328
Hg39 0.285 0.425 0.828
Hg40 0.215 0.543 0.640
Hg41 0.903 0.075 0.860
Hg42 0.672 0.215 0.575
Hg43 0.457 0.785 0.860
Hg44 0.043 0.403 0.828
Hg45 0.425 0.285 0.328
Hg46 0.043 0.640 0.715
Hg47 0.672 0.457 0.597
Hg48 0.285 0.860 0.957

Computed properties:
**Total moment**: 0.0000 μB per atom
**Raw formation energy**: -5.239 eV per formula unit
**Space-group type**: No. 230

The following is a DFT calculation (GGA-PBE) of an optimized crystal structure of HgOsO4F.

Unit cell a=6.078 b=6.078 c=8.050 alpha=78.65 beta=78.65 gamma=83.69
Atoms (fractional coordinates):
Hg1 0.200 0.200 0.917
Hg2 0.800 0.800 0.083
Os1 0.639 0.639 0.729
Os2 0.361 0.361 0.271
O1 0.230 0.230 0.470
O2 0.770 0.770 0.530
O3 0.162 0.495 0.145
O4 0.553 0.553 0.279
O5 0.505 0.838 0.855
O6 0.495 0.162 0.145
O7 0.447 0.447 0.721
O8 0.838 0.505 0.855
F1 0.015 0.015 0.174
F2 0.985 0.985 0.826

Computed properties:
**Total moment**: 0.0000 μB per atom
**Raw formation energy**: -6.099 eV per formula unit
**Space-group type**: No. 12

The following is a DFT calculation (GGA-PBE) of an optimized crystal structure of HgP2O6F.

Unit cell a=4.577 b=7.906 c=7.906 alpha=85.81 beta=77.64 gamma=77.64
Each line ends with the local moment (μB).
Atoms (fractional coordinates):
Hg1 0.250 0.149 0.851  0.08
Hg2 0.750 0.851 0.149  0.08
P1 0.289 0.784 0.606  -0.01
P2 0.211 0.394 0.216  -0.01
P3 0.711 0.216 0.394  -0.01
P4 0.789 0.606 0.784  -0.01
O1 0.270 0.973 0.637  0.15
O2 0.230 0.363 0.027  0.15
O3 0.730 0.027 0.363  0.15
O4 0.770 0.637 0.973  0.15
O5 0.429 0.731 0.424  0.18
O6 0.071 0.576 0.269  0.18
O7 0.571 0.269 0.576  0.18
O8 0.929 0.424 0.731  0.18
O9 0.951 0.745 0.661  0.03
O10 0.549 0.339 0.255  0.03
O11 0.049 0.255 0.339  0.03
O12 0.451 0.661 0.745  0.03
F1 0.250 0.924 0.076  0.09
F2 0.750 0.076 0.924  0.09

Computed properties:
**Total moment**: 0.1026 μB per atom
**Raw formation energy**: -15.576 eV per formula unit
**Space-group type**: No. 15

The following is a DFT calculation (GGA-PBE) of an optimized crystal structure of Hg2PO4F.

Unit cell a=4.965 b=4.965 c=5.801 alpha=111.96 beta=111.96 gamma=97.25
Atoms (fractional coordinates):
Hg1 0.730 0.230 0.461
Hg2 0.230 0.730 0.461
P1 0.476 0.476 0.952
O1 0.590 0.590 0.776
O2 0.397 0.740 0.136
O3 0.740 0.397 0.136
O4 0.186 0.186 0.776
F1 0.151 0.151 0.302

Computed properties:
**Total moment**: 0.0000 μB per atom
**Raw formation energy**: -9.747 eV per formula unit
**Space-group type**: No. 42

The following is a DFT calculation (GGA-PBE) of an optimized crystal structure of Hg3PbO2F6.

Unit cell a=5.274 b=7.056 c=8.719 alpha=113.87 beta=126.20 gamma=90.00
Atoms (fractional coordinates):
Hg1 0.000 0.500 0.000
Hg2 0.500 0.500 0.500
Hg3 0.500 0.000 0.500
Pb1 0.500 0.000 0.000
O1 0.440 0.666 0.332
O2 0.560 0.334 0.668
F1 0.867 0.284 0.142
F2 0.133 0.716 0.858
F3 0.436 0.855 0.710
F4 0.564 0.145 0.290
F5 0.133 0.142 0.858
F6 0.867 0.858 0.142

Computed properties:
**Total moment**: 0.0000 μB per atom
**Raw formation energy**: -16.287 eV per formula unit
**Space-group type**: No. 12

The following is a DFT calculation (GGA-PBE) of an optimized crystal structure of HgPbOF2.

Unit cell a=4.626 b=4.626 c=4.311 alpha=90.00 beta=90.00 gamma=90.00
Atoms (fractional coordinates):
Pb1 0.000 0.000 0.000
Hg1 0.500 0.500 0.500
O1 0.000 0.000 0.500
F1 0.000 0.500 0.000
F2 0.500 0.000 0.000

Computed properties:
**Total moment**: 0.0000 μB per atom
**Raw formation energy**: -5.611 eV per formula unit
**Space-group type**: No. 123

The following is a DFT calculation (GGA-PBE) of an optimized crystal structure of HgPdO2F.

Unit cell a=4.242 b=4.242 c=4.366 alpha=90.00 beta=90.00 gamma=90.00
Each line ends with the local moment (μB).
Atoms (fractional coordinates):
O1 0.000 0.500 0.000  0.40
O2 0.500 0.000 0.000  0.40
Hg1 0.000 0.000 0.000  0.04
Pd1 0.500 0.500 0.500  0.98
F1 0.000 0.000 0.500  0.00

Computed properties:
**Total moment**: 0.3931 μB per atom
**Raw formation energy**: 1.829 eV per formula unit
**Space-group type**: No. 123

The following is a DFT calculation (GGA-PBE) of an optimized crystal structure of HgPd2OF.

Unit cell a=5.243 b=4.363 c=5.243 alpha=90.00 beta=90.00 gamma=90.00
Each line ends with the local moment (μB).
Atoms (fractional coordinates):
O1 0.500 0.500 0.500  1.12
Hg1 0.000 0.000 0.000  -0.01
Pd1 0.000 0.000 0.500  0.29
Pd2 0.500 0.000 0.000  0.28
F1 0.000 0.500 0.000  -0.04

Computed properties:
**Total moment**: 0.3615 μB per atom
**Raw formation energy**: 4.409 eV per formula unit
**Space-group type**: No. 123

The following is a DFT calculation (GGA-PBE) of an optimized crystal structure of HgPdO2F.

Unit cell a=4.043 b=4.043 c=4.150 alpha=90.00 beta=90.00 gamma=90.00
Atoms (fractional coordinates):
O1 0.000 0.500 0.000
O2 0.500 0.000 0.000
Hg1 0.500 0.500 0.500
Pd1 0.000 0.000 0.000
F1 0.000 0.000 0.500

Computed properties:
**Total moment**: 0.0000 μB per atom
**Raw formation energy**: -1.401 eV per formula unit
**Space-group type**: No. 123

The following is a DFT calculation (GGA-PBE) of an optimized crystal structure of PrHgO2F.

Unit cell a=3.647 b=6.927 c=6.810 alpha=97.66 beta=90.00 gamma=90.00
Atoms (fractional coordinates):
Pr1 0.750 0.882 0.243
Pr2 0.250 0.118 0.757
Hg1 0.750 0.626 0.679
Hg2 0.250 0.374 0.321
O1 0.250 0.095 0.382
O2 0.250 0.657 0.286
O3 0.750 0.343 0.714
O4 0.750 0.905 0.618
F1 0.750 0.144 0.025
F2 0.250 0.856 0.975

Computed properties:
**Total moment**: 0.0000 μB per atom
**Raw formation energy**: -11.650 eV per formula unit
**Space-group type**: No. 11

The following is a DFT calculation (GGA-PBE) of an optimized crystal structure of HgPtO2F.

Unit cell a=3.950 b=3.950 c=4.585 alpha=90.00 beta=90.00 gamma=90.00
Atoms (fractional coordinates):
O1 0.000 0.500 0.000
O2 0.500 0.000 0.000
Hg1 0.500 0.500 0.500
Pt1 0.000 0.000 0.000
F1 0.000 0.000 0.500

Computed properties:
**Total moment**: 0.0000 μB per atom
**Raw formation energy**: -1.195 eV per formula unit
**Space-group type**: No. 123

The following is a DFT calculation (GGA-PBE) of an optimized crystal structure of HgPtO2F.

Unit cell a=4.272 b=4.272 c=4.273 alpha=90.00 beta=90.00 gamma=90.00
Each line ends with the local moment (μB).
Atoms (fractional coordinates):
O1 0.000 0.500 0.000  0.34
O2 0.500 0.000 0.000  0.34
Hg1 0.000 0.000 0.000  0.02
Pt1 0.500 0.500 0.500  1.16
F1 0.000 0.000 0.500  0.00

Computed properties:
**Total moment**: 0.3957 μB per atom
**Raw formation energy**: 3.437 eV per formula unit
**Space-group type**: No. 123

The following is a DFT calculation (GGA-PBE) of an optimized crystal structure of PuHg2O4F.

Unit cell a=3.618 b=6.751 c=6.430 alpha=76.28 beta=73.66 gamma=74.46
Each line ends with the local moment (μB).
Atoms (fractional coordinates):
Pu1 0.000 0.000 0.000  2.54
Hg1 0.836 0.666 0.662  0.01
Hg2 0.164 0.334 0.338  0.01
O1 0.102 0.095 0.701  -0.11
O2 0.379 0.201 0.042  -0.09
O3 0.898 0.905 0.299  -0.11
O4 0.621 0.799 0.958  -0.09
F1 0.500 0.500 0.500  0.01

Computed properties:
**Total moment**: 0.2696 μB per atom
**Raw formation energy**: -11.798 eV per formula unit
**Space-group type**: No. 12

The following is a DFT calculation (GGA-PBE) of an optimized crystal structure of Rb6Hg2OF.

Unit cell a=8.207 b=8.207 c=14.447 alpha=73.50 beta=73.50 gamma=60.00
Atoms (fractional coordinates):
Rb1 0.843 0.391 0.376
Rb2 0.391 0.843 0.376
Rb3 0.391 0.391 0.376
Rb4 0.157 0.609 0.624
Rb5 0.609 0.157 0.624
Rb6 0.609 0.609 0.624
Rb7 0.717 0.200 0.882
Rb8 0.200 0.717 0.882
Rb9 0.200 0.200 0.882
Rb10 0.283 0.800 0.118
Rb11 0.800 0.283 0.118
Rb12 0.800 0.800 0.118
Hg1 0.873 0.873 0.381
Hg2 0.127 0.127 0.619
Hg3 0.711 0.711 0.866
Hg4 0.289 0.289 0.134
O1 0.000 0.000 0.000
O2 0.500 0.500 0.500
F1 0.589 0.589 0.234
F2 0.411 0.411 0.766

Computed properties:
**Total moment**: 0.0000 μB per atom
**Raw formation energy**: -8.727 eV per formula unit
**Space-group type**: No. 166

The following is a DFT calculation (GGA-PBE) of an optimized crystal structure of RbHgOF2.

Unit cell a=4.738 b=4.738 c=4.140 alpha=90.00 beta=90.00 gamma=90.00
Each line ends with the local moment (μB).
Atoms (fractional coordinates):
O1 0.000 0.000 0.500  0.36
Hg1 0.000 0.000 0.000  0.06
Rb1 0.500 0.500 0.500  0.00
F1 0.000 0.500 0.000  0.01
F2 0.500 0.000 0.000  0.01

Computed properties:
**Total moment**: 0.1064 μB per atom
**Raw formation energy**: -6.769 eV per formula unit
**Polymorph energy (0 for the lowest one)**: 0.00 eV/f.u.
**Space-group type**: No. 123

The following is a DFT calculation (GGA-PBE) of an optimized crystal structure of RbHgOF2.

Unit cell a=4.909 b=4.909 c=4.519 alpha=90.00 beta=90.00 gamma=90.00
Each line ends with the local moment (μB).
Atoms (fractional coordinates):
O1 0.000 0.000 0.500  0.18
Hg1 0.500 0.500 0.500  -0.05
Rb1 0.000 0.000 0.000  -0.03
F1 0.000 0.500 0.000  -0.13
F2 0.500 0.000 0.000  -0.13

Computed properties:
**Total moment**: 0.0314 μB per atom
**Raw formation energy**: -1.674 eV per formula unit
**Polymorph energy (0 for the lowest one)**: 5.10 eV/f.u.
**Space-group type**: No. 123